Entry 1:
Here is a relaxed structure of NaInHg from Alexandria. Energies are from GGA-PBE.

```
NaInHg
1.0
0.0000 3.5306 3.5306
3.5306 0.0000 3.5306
3.5306 3.5306 0.0000
Na In Hg
1 1 1
Direct
0.0000 0.0000 0.0000
0.5000 0.5000 0.5000
0.7500 0.7500 0.7500
```

Polymorph energy (0 for the lowest one), meV/atom: 87.0
D(E_F), states/eV per atom: 0.41
Crystal system: cubic
Energy of formation, eV/atom: -0.10
SG: F-43m



Entry 2:
Here is a relaxed structure of NaIn5Hg6 from Alexandria. Energies are from GGA-PBE.

```
NaIn5Hg6
1.0
4.7923 -7.5098 0.0000
4.7923 7.5098 0.0000
-2.4721 0.0000 4.3249
Na In Hg
1 5 6
Direct
0.0000 0.0000 0.0000
0.1655 0.8345 0.5000
0.3294 0.6706 0.0000
0.5000 0.5000 0.5000
0.6706 0.3294 0.0000
0.8345 0.1655 0.5000
0.0873 0.4167 0.2506
0.2495 0.2495 0.7438
0.4167 0.0873 0.2506
0.5833 0.9127 0.7494
0.7505 0.7505 0.2562
0.9127 0.5833 0.7494
```

D(E_F), states/eV per atom: 0.35
Crystal system: monoclinic
Energy of formation, eV/atom: -0.06
SG: C2/m



Entry 3:
Here is a relaxed structure of NaIn2Hg from Alexandria. Energies are from GGA-PBE.

```
NaIn2Hg
1.0
2.4640 1.4226 5.3561
-2.4640 1.4226 5.3561
0.0000 -2.8451 5.3561
Na In Hg
1 2 1
Direct
0.0000 0.0000 0.0000
0.5729 0.5729 0.5729
0.7800 0.7800 0.7800
0.1939 0.1939 0.1939
```

D(E_F), states/eV per atom: 0.34
Crystal system: trigonal
Energy of formation, eV/atom: -0.07
SG: R3m



Entry 4:
Here is a relaxed structure of Na2InHg9 from Alexandria. Energies are from GGA-PBE.

```
Na2InHg9
1.0
4.8483 0.0000 0.0000
0.0000 4.8483 0.0000
0.0000 0.0000 13.3316
Na In Hg
2 1 9
Direct
0.0000 0.0000 0.1690
0.0000 0.0000 0.8310
0.0000 0.0000 0.5000
0.0000 0.5000 0.0000
0.0000 0.5000 0.3341
0.0000 0.5000 0.6659
0.5000 0.0000 0.0000
0.5000 0.0000 0.3341
0.5000 0.0000 0.6659
0.5000 0.5000 0.1698
0.5000 0.5000 0.5000
0.5000 0.5000 0.8302
```

Polymorph energy (0 for the lowest one), meV/atom: 0.0
D(E_F), states/eV per atom: 0.40
Crystal system: tetragonal
Energy of formation, eV/atom: -0.12
SG: P4/mmm



Entry 5:
Here is a relaxed structure of Na3InHg6 from Alexandria. Energies are from GGA-PBE.

```
Na3InHg6
1.0
8.8923 0.0000 0.0000
0.0000 5.3331 0.0000
-4.3216 0.0000 10.7309
Na In Hg
6 2 12
Direct
0.0490 0.2500 0.3770
0.1464 0.7500 0.2248
0.2784 0.2500 0.9800
0.7216 0.7500 0.0200
0.8536 0.2500 0.7752
0.9510 0.7500 0.6230
0.4445 0.2500 0.5710
0.5555 0.7500 0.4290
0.0286 0.7500 0.9267
0.1548 0.2500 0.6746
0.2378 0.7500 0.5201
0.3274 0.7500 0.8278
0.3604 0.2500 0.2750
0.4382 0.7500 0.1322
0.5618 0.2500 0.8678
0.6396 0.7500 0.7250
0.6726 0.2500 0.1722
0.7622 0.2500 0.4799
0.8452 0.7500 0.3254
0.9714 0.2500 0.0733
```

Polymorph energy (0 for the lowest one), meV/atom: 0.0
D(E_F), states/eV per atom: 0.34
Crystal system: monoclinic
Energy of formation, eV/atom: -0.19
SG: P2_1/m



Entry 6:
Here is a relaxed structure of Na2In4Hg5 from Alexandria. Energies are from GGA-PBE.

```
Na2In4Hg5
1.0
5.5660 -3.3225 0.0000
5.5660 3.3225 0.0000
-4.0961 0.0000 8.0698
Na In Hg
2 4 5
Direct
0.0809 0.0809 0.2687
0.9191 0.9191 0.7313
0.2405 0.2405 0.0187
0.3950 0.3950 0.6316
0.6050 0.6050 0.3684
0.7595 0.7595 0.9813
0.0792 0.6168 0.3362
0.3832 0.9208 0.6638
0.5000 0.5000 0.0000
0.6168 0.0792 0.3362
0.9208 0.3832 0.6638
```

Polymorph energy (0 for the lowest one), meV/atom: 0.0
D(E_F), states/eV per atom: 0.34
Crystal system: monoclinic
Energy of formation, eV/atom: -0.08
SG: C2/m



DFT total energy in eV for the cell shown, matching the order above: -4.7, -17.5, -7.4, -9.6, -20.8, -16.0